The following is a DFT calculation (GGA-PBE) of a relaxed Mn3GaH2 crystal.

Summary:
DFT total energy   -6.217 eV per atom
DOS at the Fermi energy   0.86 states/eV/atom
V   9.06 Å³ per atom

```
data_Mn3GaH2
_chemical_formula_sum 'Mn6 Ga2 H4'
_cell_length_a 3.667
_cell_length_b 3.667
_cell_length_c 8.088
_cell_angle_alpha 90.00
_cell_angle_beta 90.00
_cell_angle_gamma 90.00
_symmetry_space_group_name_H-M 'I 4/m m m'
_symmetry_Int_Tables_number 139
_symmetry_space_group_name_Hall '-I 4 2'
loop_
_atom_site_label
_atom_site_type_symbol
_atom_site_fract_x
_atom_site_fract_y
_atom_site_fract_z
_atom_site_occupancy
Mn1 Mn 0.000 0.000 0.000 1
Mn2 Mn 0.000 0.500 0.250 1
Ga1 Ga 0.000 0.000 0.500 1
H1 H 0.000 0.000 0.213 1
```